TaFeI3: optimized geometry, PBE.

abc: 5.5509 5.5509 5.5509
angles: 90.00 90.00 90.00
With the nearest neighbours (Å) after each atom.
Space group Pm-3m (No. 221)
Asymmetric unit:
Ta  0.0000  0.0000  0.0000 [1 per cell]  6 I 2.78
Fe  0.5000  0.5000  0.5000 [1 per cell]  12 I 3.93
I  0.0000  0.0000  0.5000 [3 per cell]  2 Ta 2.78

Computed properties:
For the density of states at the Fermi level, the calculation gives 11.641 states/eV per cell. The calculation puts the energy at -0.299 Ry per atom. The calculation puts the energy above the most stable polymorph in this dataset at 0 meV per atom. For the spin magnetization, the calculation gives 3.8 μB/cell. As for the formation energy without anion corrections: 920 meV/atom.